(1)
Material: KGdDyNi2
Method: DFT, PBE
State: optimized geometry

Results
Its total energy is -4.452 eV/atom. Its total magnetic moment is 0.0 μB/f.u.

Lattice parameters (Å, degrees): 3.7122 9.2041 9.2041 25.26 90.00 90.00
With the nearest neighbours (Å) after each atom.
Sites, in units of the cell vectors:
1 K 0.0000 0.0000 0.0000  2 Ni 3.70-3.78, 4 K 3.71-4.02, 4 Dy 4.08, 4 Gd 4.10
2 Gd 0.5000 0.6696 0.6696  6 Ni 2.84-2.90
3 Dy 0.5000 0.3319 0.3319  6 Ni 2.82-2.86
4 Ni 0.0000 0.2106 0.2106  2 Ni 2.51
5 Ni 0.0000 0.7939 0.7939  2 Ni 2.51

***

(2)
Material: CdGe
Method: DFT, PBE
State: optimized geometry

Results
Its total energy is -2.509 eV/atom.

Lattice parameters (Å, degrees): 3.5128 3.5128 3.5128 90.00 90.00 90.00
With the nearest neighbours (Å) after each atom.
Sites, in units of the cell vectors:
1 Cd 0.0000 0.0000 0.0000  8 Ge 3.04
2 Ge 0.5000 0.5000 0.5000  8 Cd 3.04

***

(3)
Material: ZnSe
Method: DFT, PBE
State: optimized geometry

Results
Its total energy is -2.625 eV/atom.

Lattice parameters (Å, degrees): 7.0793 7.0793 7.3132 90.00 90.00 90.00
With the nearest neighbours (Å) after each atom.
Sites, in units of the cell vectors:
1 Zn 0.0000 0.0000 0.2500  4 Se 2.58
2 Zn 0.0000 0.0000 0.7500  4 Se 2.58
3 Zn 0.0000 0.5000 0.0000  4 Se 2.56
4 Zn 0.2381 0.5419 0.5000  4 Se 2.57-2.60
5 Zn 0.4581 0.2381 0.0000  4 Se 2.57-2.60
6 Zn 0.5000 0.0000 0.5000  4 Se 2.56
7 Zn 0.5419 0.7619 0.0000  4 Se 2.57-2.60
8 Zn 0.7619 0.4581 0.5000  4 Se 2.57-2.60
9 Se 0.1909 0.3102 0.2331  4 Zn 2.56-2.60
10 Se 0.1909 0.3102 0.7669  4 Zn 2.56-2.60
11 Se 0.3102 0.8091 0.2669  4 Zn 2.56-2.60
12 Se 0.3102 0.8091 0.7331  4 Zn 2.56-2.60
13 Se 0.6898 0.1909 0.2669  4 Zn 2.56-2.60
14 Se 0.6898 0.1909 0.7331  4 Zn 2.56-2.60
15 Se 0.8091 0.6898 0.2331  4 Zn 2.56-2.60
16 Se 0.8091 0.6898 0.7669  4 Zn 2.56-2.60

***

> The highest total energy belongs to which entry?

CdGe